## BaS2 (GGA-PBE)

Data for crystalline BaS2 at its relaxed geometry.

Output
Size of the total moment   0.000 μB per formula unit
Raw formation energy   -1.384 eV per atom

abc: 7.809 6.111 5.413
angles: 90.00 133.36 90.00
Space group C2/m (No. 12)
Symmetry-distinct sites (fractional):
Ba: 0.000 0.000 0.000 [2 per cell]
S: 0.002 0.500 0.198 [4 per cell]

## TaBe2Si (GGA-PBE)

Data for crystalline TaBe2Si at its relaxed geometry.

Output
Size of the total moment   0.000 μB per formula unit
Raw formation energy   -0.066 eV per atom

abc: 2.814 3.772 4.767
angles: 90.00 90.00 90.00
Space group Pmm2 (No. 25)
Symmetry-distinct sites (fractional):
Ta: 0.000 0.000 0.000 [1 per cell]
Be: 0.500 0.000 0.520 [1 per cell]
Be: 0.500 0.500 0.753 [1 per cell]
Si: 0.500 0.500 0.258 [1 per cell]

## Sm6DyCd (GGA-PBE)

Data for crystalline Sm6DyCd at its relaxed geometry.

Output
Size of the total moment   0.000 μB per formula unit
E above lowest polymorph   0 meV per atom
Formation energy   -3.53 kJ per mole of atoms

abc: 4.980 4.980 10.182
angles: 90.00 90.00 90.00
Space group P4/mmm (No. 123)
Symmetry-distinct sites (fractional):
Sm: 0.000 0.000 0.000 [1 per cell]
Sm: 0.000 0.000 0.500 [1 per cell]
Sm: 0.000 0.500 0.245 [4 per cell]
Dy: 0.500 0.500 0.500 [1 per cell]
Cd: 0.500 0.500 0.000 [1 per cell]

## CePm2Th3P6 (GGA-PBE)

Data for crystalline CePm2Th3P6 at its relaxed geometry.

Output
Size of the total moment   0.522 μB per formula unit
Formation energy   -150.89 kJ per mole of atoms

abc: 7.164 12.409 7.146
angles: 90.00 109.50 90.00
Space group C2/m (No. 12)
Symmetry-distinct sites (fractional):
Ce: 0.000 0.000 0.000 [2 per cell]
Pm: 0.000 0.333 0.000 [4 per cell]
Th: 0.000 0.167 0.500 [4 per cell]
Th: 0.000 0.500 0.500 [2 per cell]
P: 0.247 0.000 0.750 [4 per cell]
P: 0.249 0.165 0.250 [8 per cell]

## HgSbI2Br (GGA-PBE)

Data for crystalline HgSbI2Br at its relaxed geometry.

Output
Size of the total moment   1.995 μB per formula unit
Raw formation energy   0.480 eV per atom
E above lowest polymorph   679 meV per atom

abc: 6.062 6.062 5.864
angles: 90.00 90.00 90.00
Space group P4/mmm (No. 123)
Symmetry-distinct sites (fractional):
Hg: 0.000 0.000 0.000 [1 per cell]
Sb: 0.500 0.500 0.000 [1 per cell]
I: 0.000 0.500 0.500 [2 per cell]
Br: 0.500 0.500 0.500 [1 per cell]

## Dy6TmS8 (GGA-PBE)

Data for crystalline Dy6TmS8 at its relaxed geometry.

Output
Size of the total moment   0.000 μB per formula unit
Raw formation energy   -2.052 eV per atom

abc: 11.014 11.014 11.014
angles: 90.00 90.00 90.00
Space group Fm-3m (No. 225)
Symmetry-distinct sites (fractional):
Dy: 0.000 0.250 0.250 [24 per cell]
Tm: 0.000 0.000 0.000 [4 per cell]
S: 0.000 0.000 0.248 [24 per cell]
S: 0.250 0.250 0.250 [8 per cell]

## Np2BeSi4Ir3 (GGA-PBE)

Data for crystalline Np2BeSi4Ir3 at its relaxed geometry.

Output
Size of the total moment   6.836 μB per formula unit
Raw formation energy   -0.567 eV per atom

abc: 4.083 4.083 9.911
angles: 90.00 90.00 90.00
Space group P-4m2 (No. 115)
Symmetry-distinct sites (fractional):
Np: 0.000 0.500 0.246 [2 per cell]
Be: 0.500 0.500 0.000 [1 per cell]
Si: 0.000 0.000 0.500 [1 per cell]
Si: 0.000 0.500 0.869 [2 per cell]
Si: 0.500 0.500 0.500 [1 per cell]
Ir: 0.000 0.000 0.000 [1 per cell]
Ir: 0.000 0.500 0.630 [2 per cell]

## AcNb4 (GGA-PBE)

Data for crystalline AcNb4 at its relaxed geometry.

Output
Size of the total moment   1.918 μB per formula unit
Formation energy   240.68 kJ per mole of atoms

abc: 5.040 5.040 5.040
angles: 90.00 90.00 90.00
Space group Pm-3m (No. 221)
Symmetry-distinct sites (fractional):
Ac: 0.000 0.000 0.000 [1 per cell]
Nb: 0.000 0.000 0.500 [3 per cell]
Nb: 0.500 0.500 0.500 [1 per cell]

## Nb2CrTe4Se2 (GGA-PBE)

Data for crystalline Nb2CrTe4Se2 at its relaxed geometry.

Output
Size of the total moment   1.939 μB per formula unit
Raw formation energy   -0.394 eV per atom

abc: 3.6031 3.6031 21.7682
angles: 90.00 90.00 120.00
Space group P3m1 (No. 156)
Symmetry-distinct sites (fractional):
Nb: 0.0000 0.0000 0.0000 [1 per cell]
Nb: 0.3333 0.6667 0.3408 [1 per cell]
Cr: 0.3333 0.6667 0.6924 [1 per cell]
Te: 0.0000 0.0000 0.2544 [1 per cell]
Te: 0.0000 0.0000 0.4279 [1 per cell]
Te: 0.3333 0.6667 0.0869 [1 per cell]
Te: 0.3333 0.6667 0.9137 [1 per cell]
Se: 0.0000 0.0000 0.6243 [1 per cell]
Se: 0.0000 0.0000 0.7610 [1 per cell]

## PuAl2InAu4 (GGA-PBE)

Data for crystalline PuAl2InAu4 at its relaxed geometry.

Output
Size of the total moment   5.218 μB per formula unit
Formation energy   -33.66 kJ per mole of atoms

abc: 4.4004 4.4004 29.4485
angles: 90.00 90.00 120.00
Space group R-3m (No. 166, hexagonal axes)
Symmetry-distinct sites (fractional):
Pu: 0.0000 0.0000 0.0000 [3 per cell]
Al: 0.0000 0.0000 0.2513 [6 per cell]
In: 0.0000 0.0000 0.5000 [3 per cell]
Au: 0.0000 0.0000 0.1169 [6 per cell]
Au: 0.0000 0.0000 0.3932 [6 per cell]

## AlCrAu (GGA-PBE)

Data for crystalline AlCrAu at its relaxed geometry.

Output
Size of the total moment   0.000 μB per formula unit
Formation energy   14.18 kJ per mole of atoms

abc: 2.8014 2.8014 6.6075
angles: 90.00 90.00 120.00
Space group P3m1 (No. 156)
Symmetry-distinct sites (fractional):
Al: 0.0000 0.0000 0.0000 [1 per cell]
Cr: 0.3333 0.6667 0.6923 [1 per cell]
Au: 0.6667 0.3333 0.3498 [1 per cell]

## NaSb2Rh2 (GGA-PBE)

Data for crystalline NaSb2Rh2 at its relaxed geometry.

Output
Size of the total moment   0.000 μB per formula unit
Raw formation energy   -0.217 eV per atom
E above lowest polymorph   196 meV per atom

abc: 4.686 4.686 10.161
angles: 90.00 90.00 90.00
Space group I4/mmm (No. 139)
Symmetry-distinct sites (fractional):
Na: 0.000 0.000 0.000 [2 per cell]
Sb: 0.000 0.500 0.250 [4 per cell]
Rh: 0.000 0.000 0.370 [4 per cell]

- What is the formula in the third record?
  Sm6DyCd

- Among the records above, which one has the highest size of the total moment?
  Np2BeSi4Ir3

- Which value of size of the total moment does entry 1 give?
  0.000 μB per formula unit

- Which value of size of the total moment does entry 5 give?
  1.995 μB per formula unit